1.
The following is a PBE calculation of a relaxed structure of La2RhBr, from Alexandria via LeMat-Bulk.

As for the formation energy without anion corrections: -0.461 eV per atom. Its theoretical density is 6.3 g cm⁻³. The volume is 30.4 A^3/atom.

The structure belongs to space group R3m (No. 160, hexagonal axes); the cell edges are 3.8329, 3.8329 and 28.6715 Å and the angles 90.00°, 90.00° and 120.00°. The inequivalent atoms are La at (0.0000, 0.0000, 0.0000), La at (0.0000, 0.0000, 0.2211), Rh at (0.0000, 0.0000, 0.7207) and Br at (0.0000, 0.0000, 0.4800).

=====

2.
The following is a PBE calculation of a relaxed structure of CeTcBC, from Alexandria via LeMat-Bulk.

The energy is -67.068 eV/cell. Its theoretical density is 7.8 g cm⁻³. The volume is 13.8 A^3/atom.

The structure belongs to space group P4/nmm (No. 129, origin choice 2); the cell edges are 3.6663, 3.6663 and 8.2379 Å and the angles 90.00°, 90.00° and 90.00°. The inequivalent atoms are Ce at (0.2500, 0.2500, 0.1628), Tc at (0.2500, 0.7500, 0.5000), B at (0.2500, 0.2500, 0.6788) and C at (0.2500, 0.2500, 0.8647).

=====

3.
The following is a PBE calculation of a relaxed structure of ReTe2C, from Alexandria via LeMat-Bulk.

As for the formation energy without anion corrections: 1.530 eV per atom. Its theoretical density is 8.0 g cm⁻³. The volume is 23.5 A^3/atom.

The structure belongs to space group R-3m (No. 166, hexagonal axes); the cell edges are 3.9946, 3.9946 and 20.4191 Å and the angles 90.00°, 90.00° and 120.00°. The inequivalent atoms are Re at (0.0000, 0.0000, 0.0000), Te at (0.0000, 0.0000, 0.4032) and C at (0.0000, 0.0000, 0.5000).

=====

4.
The following is a PBE calculation of a relaxed structure of CePm10Ho4, from Alexandria via LeMat-Bulk.

The energy is -133.674 eV/cell. Its theoretical density is 7.3 g cm⁻³. The volume is 34.1 A^3/atom.

The structure belongs to space group I4/m (No. 87); the cell edges are 9.7879, 9.7879 and 10.6793 Å and the angles 90.00°, 90.00° and 90.00°. The inequivalent atoms are Ce at (0.0000, 0.0000, 0.0000), Pm at (0.0000, 0.5000, 0.2500), Pm at (0.1157, 0.2131, 0.3437) and Ho at (0.0610, 0.3324, 0.0000).

=====

5.
The following is a PBE calculation of a relaxed structure of VZnTcIr, from Alexandria via LeMat-Bulk.

The energy is -122.448 eV/cell. Its theoretical density is 12.1 g cm⁻³. The volume is 13.9 A^3/atom.

The structure belongs to space group F-43m (No. 216); the cell edges are 6.0609, 6.0609 and 6.0609 Å and the angles 90.00°, 90.00° and 90.00°. The inequivalent atoms are V at (0.0000, 0.0000, 0.0000), Zn at (0.0000, 0.0000, 0.5000), Tc at (0.2500, 0.2500, 0.7500) and Ir at (0.2500, 0.2500, 0.2500).

=====

6.
The following is a PBE calculation of a relaxed structure of Tb2YErSc, from Alexandria via LeMat-Bulk.

The energy is -99.315 eV/cell. Its theoretical density is 6.4 g cm⁻³. The volume is 32.3 A^3/atom.

The structure belongs to space group Cmcm (No. 63); the cell edges are 8.1333, 11.2292 and 7.0725 Å and the angles 90.00°, 90.00° and 90.00°. The inequivalent atoms are Tb at (0.1982, 0.0000, 0.0000), Y at (0.0000, 0.2386, 0.2500), Er at (0.0000, 0.2240, 0.7500) and Sc at (0.0000, 0.4895, 0.7500).

=====

7.
The following is a PBE calculation of a relaxed structure of SnPd, from Alexandria via LeMat-Bulk.

The energy is -78.217 eV/cell. Its theoretical density is 6.8 g cm⁻³. The volume is 27.3 A^3/atom.

The structure belongs to space group I4/mcm (No. 140); the cell edges are 9.1943, 9.1943 and 5.1683 Å and the angles 90.00°, 90.00° and 90.00°. The inequivalent atoms are Sn at (0.1194, 0.3806, 0.0000) and Pd at (0.1767, 0.3233, 0.5000).

=====

8.
The following is a PBE calculation of a relaxed structure of LaNd2YEr5, from Alexandria via LeMat-Bulk.

The energy is -165.732 eV/cell. Its theoretical density is 7.6 g cm⁻³. The volume is 32.9 A^3/atom.

The structure belongs to space group I4/mcm (No. 140); the cell edges are 8.7461, 8.7461 and 15.4834 Å and the angles 90.00°, 90.00° and 90.00°. The inequivalent atoms are La at (0.0000, 0.0000, 0.2500), Nd at (0.1168, 0.3832, 0.0000), Y at (0.0000, 0.5000, 0.2500), Er at (0.0000, 0.0000, 0.0000) and Er at (0.2102, 0.2898, 0.3634).

=====

Number 1: magnetic moment 1.3 Bohr magnetons per cell. Number 2: magnetic moment 0.0 Bohr magnetons per cell. Number 3: magnetic moment 1.2 Bohr magnetons per cell. Number 4: magnetic moment 2.3 Bohr magnetons per cell. Number 5: magnetic moment 0.0 Bohr magnetons per cell. Number 6: magnetic moment 0.0 Bohr magnetons per cell. Number 7: magnetic moment 0.0 Bohr magnetons per cell. Number 8: magnetic moment 0.0 Bohr magnetons per cell.